This record from Alexandria describes a relaxed structure of CrPRu2. The functional is PBE-GGA.

Structure (POSCAR):
```
CrPRu2
1.0
2.763 0.000 0.000
0.000 3.831 0.000
-1.219 0.000 4.942
Cr P Ru
1 1 2
Cartesian
0.000 0.000 0.000 Cr
-0.609 0.000 2.471 P
0.103 1.915 3.652 Ru
1.441 1.915 1.290 Ru
```

Properties
Volume, A^3/atom: 13.07
Magnetization, μB/cell: 0.7
Calculated formation energy, eV per atom: -0.097



This record from Alexandria describes a relaxed structure of CrP2Ru2. The functional is PBE-GGA.

Structure (POSCAR):
```
CrP2Ru2
1.0
6.947 0.000 0.000
0.000 6.947 0.000
0.000 0.000 2.859
Cr P Ru
2 4 4
Cartesian
0.000 0.000 0.000 Cr
3.473 3.473 0.000 Cr
1.090 2.383 1.429 P
2.383 5.857 1.429 P
4.564 1.090 1.429 P
5.857 4.564 1.429 P
0.983 4.457 0.000 Ru
2.490 0.983 0.000 Ru
4.457 5.964 0.000 Ru
5.964 2.490 0.000 Ru
```

Properties
Volume, A^3/atom: 13.80
Magnetization, μB/cell: 7.6
Calculated formation energy, eV per atom: -0.038



This record from Alexandria describes a relaxed structure of CrP2Ru. The functional is PBE-GGA.

Structure (POSCAR):
```
CrP2Ru
1.0
0.000 2.992 2.992
2.992 0.000 2.992
2.992 2.992 0.000
Cr P Ru
1 2 1
Cartesian
0.000 0.000 0.000 Cr
2.992 2.992 2.992 P
4.488 4.488 4.488 P
1.496 1.496 1.496 Ru
```

Properties
Volume, A^3/atom: 13.39
Magnetization, μB/cell: 2.8
Calculated formation energy, eV per atom: 0.331



This record from Alexandria describes a relaxed structure of CrPRu2. The functional is PBE-GGA.

Structure (POSCAR):
```
CrPRu2
1.0
0.000 2.956 2.956
2.956 0.000 2.956
2.956 2.956 0.000
Cr P Ru
1 1 2
Cartesian
0.000 0.000 0.000 Cr
1.478 1.478 1.478 P
2.956 2.956 2.956 Ru
4.434 4.434 4.434 Ru
```

Properties
Volume, A^3/atom: 12.91
Magnetization, μB/cell: 0.0
Calculated formation energy, eV per atom: 0.153



This record from Alexandria describes a relaxed structure of CrP2Ru. The functional is PBE-GGA.

Structure (POSCAR):
```
CrP2Ru
1.0
-2.593 2.593 5.391
2.593 -2.593 5.391
2.593 2.593 -5.391
Cr P Ru
2 4 2
Cartesian
0.000 0.000 0.000 Cr
0.000 2.593 2.696 Cr
1.296 -1.266 4.043 P
1.327 1.296 1.348 P
1.296 3.858 -1.348 P
1.266 1.296 6.739 P
2.593 0.000 2.696 Ru
0.000 0.000 5.391 Ru
```

Properties
Volume, A^3/atom: 18.12
Magnetization, μB/cell: 4.4
Calculated formation energy, eV per atom: -0.058



This record from Alexandria describes a relaxed structure of CrPRu2. The functional is PBE-GGA.

Structure (POSCAR):
```
CrPRu2
1.0
-2.627 2.627 5.227
2.627 -2.627 5.227
2.627 2.627 -5.227
Cr P Ru
2 2 4
Cartesian
0.000 0.000 0.000 Cr
0.000 2.627 2.613 Cr
2.627 0.000 2.613 P
0.000 0.000 5.227 P
1.314 -1.297 3.920 Ru
1.330 1.314 1.307 Ru
1.314 3.924 -1.307 Ru
1.297 1.314 6.533 Ru
```

Properties
Volume, A^3/atom: 18.03
Magnetization, μB/cell: 0.0
Calculated formation energy, eV per atom: 0.416



This record from Alexandria describes a relaxed structure of CrP2Ru. The functional is PBE-GGA.

Structure (POSCAR):
```
CrP2Ru
1.0
2.888 0.000 0.000
0.000 4.081 0.000
0.000 0.000 4.101
Cr P Ru
1 2 1
Cartesian
0.000 0.000 0.000 Cr
1.444 0.000 2.051 P
1.444 2.041 0.000 P
0.000 2.041 2.051 Ru
```

Properties
Volume, A^3/atom: 12.09
Magnetization, μB/cell: 0.4
Calculated formation energy, eV per atom: -0.295



This record from Alexandria describes a relaxed structure of CrP2Ru. The functional is PBE-GGA.

Structure (POSCAR):
```
CrP2Ru
1.0
1.435 0.829 7.096
-1.435 0.829 7.096
0.000 -1.658 7.096
Cr P Ru
1 2 1
Cartesian
0.000 0.000 0.000 Cr
0.000 0.000 5.389 P
0.000 0.000 15.900 P
0.000 0.000 10.644 Ru
```

Properties
Volume, A^3/atom: 12.66
Magnetization, μB/cell: 0.9
Calculated formation energy, eV per atom: -0.161



This record from Alexandria describes a relaxed structure of CrPRu2. The functional is PBE-GGA.

Structure (POSCAR):
```
CrPRu2
1.0
-1.819 1.819 3.919
1.819 -1.819 3.919
1.819 1.819 -3.919
Cr P Ru
1 1 2
Cartesian
0.000 0.000 0.000 Cr
1.819 0.000 1.959 P
0.000 0.000 3.919 Ru
0.000 1.819 1.959 Ru
```

Properties
Volume, A^3/atom: 12.97
Magnetization, μB/cell: 2.0
Calculated formation energy, eV per atom: -0.033



This record from Alexandria describes a relaxed structure of CrP2Ru. The functional is PBE-GGA.

Structure (POSCAR):
```
CrP2Ru
1.0
-1.408 2.533 3.718
1.408 -2.533 3.718
1.408 2.533 -3.718
Cr P Ru
1 2 1
Cartesian
0.000 0.000 0.000 Cr
1.408 0.000 1.801 P
0.000 2.533 1.917 P
0.000 0.000 3.718 Ru
```

Properties
Volume, A^3/atom: 13.26
Magnetization, μB/cell: 0.0
Calculated formation energy, eV per atom: 0.094



This record from Alexandria describes a relaxed structure of CrPRu2. The functional is PBE-GGA.

Structure (POSCAR):
```
CrPRu2
1.0
1.369 0.790 7.985
-1.369 0.790 7.985
0.000 -1.580 7.985
Cr P Ru
1 1 2
Cartesian
0.000 0.000 0.000 Cr
0.000 0.000 6.131 P
0.000 0.000 12.302 Ru
0.000 0.000 17.965 Ru
```

Properties
Volume, A^3/atom: 12.95
Magnetization, μB/cell: 0.0
Calculated formation energy, eV per atom: -0.018



This record from Alexandria describes a relaxed structure of CrPRu2. The functional is PBE-GGA.

Structure (POSCAR):
```
CrPRu2
1.0
2.841 0.000 0.000
0.000 3.632 0.000
0.000 0.000 5.135
Cr P Ru
1 1 2
Cartesian
0.000 0.000 0.000 Cr
1.421 1.816 1.503 P
0.000 0.000 2.403 Ru
1.421 1.816 4.206 Ru
```

Properties
Volume, A^3/atom: 13.25
Magnetization, μB/cell: 1.4
Calculated formation energy, eV per atom: -0.070